Entry 1:
! PBE-GGA AcGd2Th, optimized geometry; values from VASP
! Uncorrected energy, eV/atom: -9.756
! Total magnetization, μB/f.u.: 14.731
! E above lowest polymorph, eV per atom: 0.124
! Mass density, g/cm3: 9.119
&SYSTEM
  ibrav = 0, nat = 4, ntyp = 3
/
ATOMIC_SPECIES
Ac 227.00 Ac.upf
Gd 157.25 Gd.upf
Th 232.04 Th.upf
ATOMIC_POSITIONS angstrom
Ac 0.0000 0.0000 0.0000
Gd 2.0649 2.0649 2.0649
Gd 6.1946 6.1946 6.1946
Th 4.1297 4.1297 4.1297
CELL_PARAMETERS angstrom
0.0000 4.1297 4.1297
4.1297 0.0000 4.1297
4.1297 4.1297 0.0000


Entry 2:
! PBE-GGA LiTa5, optimized geometry; values from VASP
! Uncorrected energy, eV/atom: -9.958
! Total magnetization, μB/f.u.: 0.000
! E above lowest polymorph, eV per atom: 0.000
! Mass density, g/cm3: 14.363
&SYSTEM
  ibrav = 0, nat = 6, ntyp = 2
/
ATOMIC_SPECIES
Li 6.94 Li.upf
Ta 180.95 Ta.upf
ATOMIC_POSITIONS angstrom
Li 0.0000 0.0000 0.0000
Ta 1.6680 4.5908 2.2972
Ta 1.6680 2.2361 0.0000
Ta 1.6680 0.0000 2.2972
Ta 1.6680 -2.2361 0.0000
Ta 1.6680 -4.5908 2.2972
CELL_PARAMETERS angstrom
1.6680 -6.8766 0.0000
1.6680 6.8766 0.0000
0.0000 0.0000 4.5945


Entry 3:
! PBE-GGA PmDy2Y3Ho6, optimized geometry; values from VASP
! Uncorrected energy, eV/atom: -5.048
! Total magnetization, μB/f.u.: 0.000
! Mass density, g/cm3: 7.558
&SYSTEM
  ibrav = 0, nat = 12, ntyp = 4
/
ATOMIC_SPECIES
Pm 145.00 Pm.upf
Dy 162.50 Dy.upf
Y 88.91 Y.upf
Ho 164.93 Ho.upf
ATOMIC_POSITIONS angstrom
Pm 0.0000 0.0000 0.0000
Dy 3.0758 1.7737 0.0000
Dy 3.0758 -1.7737 0.0000
Y 2.0549 3.5455 5.7927
Y 2.0549 0.0000 5.7927
Y 2.0549 -3.5455 5.7927
Ho 1.0333 1.7762 2.8967
Ho 0.0053 0.0000 8.6898
Ho 1.0333 -1.7762 2.8967
Ho 3.0764 1.7762 8.6888
Ho 4.1044 0.0000 2.8956
Ho 3.0764 -1.7762 8.6888
CELL_PARAMETERS angstrom
3.0758 -5.3219 0.0000
3.0758 5.3219 0.0000
-2.0419 0.0000 11.5854


Entry 4:
! PBE-GGA Tb2NpScAs4, optimized geometry; values from VASP
! Uncorrected energy, eV/atom: -7.155
! Total magnetization, μB/f.u.: 3.707
! Mass density, g/cm3: 7.858
&SYSTEM
  ibrav = 0, nat = 8, ntyp = 4
/
ATOMIC_SPECIES
Tb 158.93 Tb.upf
Np 237.00 Np.upf
Sc 44.96 Sc.upf
As 74.92 As.upf
ATOMIC_POSITIONS angstrom
Tb 0.0000 0.0000 0.0000
Tb 3.5148 2.0323 0.0000
Np -1.1632 2.0323 3.3264
Sc 2.3516 0.0000 3.3264
As 0.0513 0.0000 4.9356
As 1.2041 2.0323 1.7483
As 3.4990 2.0323 4.9045
As 4.6518 0.0000 1.7172
CELL_PARAMETERS angstrom
7.0295 0.0000 0.0000
0.0000 4.0646 0.0000
-2.3264 0.0000 6.6528


Entry 5:
! PBE-GGA Pr2DyRh2, optimized geometry; values from VASP
! Uncorrected energy, eV/atom: -6.384
! Total magnetization, μB/f.u.: 0.000
! Mass density, g/cm3: 8.403
&SYSTEM
  ibrav = 0, nat = 10, ntyp = 3
/
ATOMIC_SPECIES
Pr 140.91 Pr.upf
Dy 162.50 Dy.upf
Rh 102.91 Rh.upf
ATOMIC_POSITIONS angstrom
Pr -0.5358 0.0000 1.8986
Pr -1.1595 0.0000 5.7311
Pr 8.6450 0.0000 4.2655
Pr 8.0213 0.0000 8.0980
Dy 3.0740 0.0000 1.3736
Dy 4.4115 0.0000 8.6230
Rh -0.4233 0.0000 9.4705
Rh 2.9507 0.0000 6.2424
Rh 4.5348 0.0000 3.7542
Rh 7.9088 0.0000 0.5260
CELL_PARAMETERS angstrom
6.5816 -1.9528 0.0000
6.5816 1.9528 0.0000
-5.6777 0.0000 9.9966


Entry 6:
! PBE-GGA Zr3GaPd, optimized geometry; values from VASP
! Uncorrected energy, eV/atom: -6.405
! Total magnetization, μB/f.u.: 0.000
! E above lowest polymorph, eV per atom: 0.000
! Mass density, g/cm3: 5.825
&SYSTEM
  ibrav = 0, nat = 5, ntyp = 3
/
ATOMIC_SPECIES
Zr 91.22 Zr.upf
Ga 69.72 Ga.upf
Pd 106.42 Pd.upf
ATOMIC_POSITIONS angstrom
Zr 0.0000 0.0000 2.5213
Zr 0.0000 2.5213 0.0000
Zr 2.5213 0.0000 0.0000
Ga 2.5213 2.5213 2.5213
Pd 0.0000 0.0000 0.0000
CELL_PARAMETERS angstrom
5.0426 0.0000 0.0000
0.0000 5.0426 0.0000
0.0000 0.0000 5.0426


We obtain energy of formation values of 0.167; 0.238; 0.020; -1.263; -0.611; 0.368 eV/atom for the records listed above, in that order.